Material: YFeSe3
Method: DFT, GGA-PBE
State: optimized geometry

a b c (Å): 4.7964 4.7964 4.7964
angles (deg): 90.00 90.00 90.00
Closest atoms and distances in Å follow each position.
Atoms (fractional coordinates):
1 Y 0.5000 0.5000 0.5000  12 Se 3.39
2 Fe 0.0000 0.0000 0.0000  6 Se 2.40
3 Se 0.0000 0.5000 0.0000  2 Fe 2.40
4 Se 0.0000 0.0000 0.5000  2 Fe 2.40
5 Se 0.5000 0.0000 0.0000  2 Fe 2.40

Properties
SG ... Pm-3m, No. 221
Size of the total moment ... 2.867 Bohr magnetons per cell
Calculated volume ... 110.3 Å³/cell
VASP energy ... -5.62 eV per atom
Energy relative to the lowest polymorph listed for this composition ... 0.000 eV per atom
Formation energy (no corrections) ... -544 meV per atom